No. 1
The following is a PBE calculation of a relaxed DyMgScRu crystal, from Alexandria.

Cell lengths 6.9042, 6.9042, 6.9042 Å; angles 90.00, 90.00, 90.00 degrees
Space group F-43m (No. 216)
Inequivalent atoms, fractional coordinates:
Dy 0.0000 0.0000 0.0000 (multiplicity 4)
Mg 0.2500 0.2500 0.7500 (multiplicity 4)
Sc 0.0000 0.0000 0.5000 (multiplicity 4)
Ru 0.2500 0.2500 0.2500 (multiplicity 4)

Computed properties:
**M_tot**: 0.000 μB/atom
**Calculated formation energy**: -0.227 eV/atom
**E above lowest polymorph**: 110 meV/atom

No. 2
The following is a PBE calculation of a relaxed AgHgBiF6 crystal, from Alexandria.

Cell lengths 6.2599, 6.2599, 9.4777 Å; angles 90.00, 90.00, 120.00 degrees
Space group P-31c (No. 163)
Inequivalent atoms, fractional coordinates:
Ag 0.0000 0.0000 0.0000 (multiplicity 2)
Hg 0.3333 0.6667 0.2500 (multiplicity 2)
Bi 0.3333 0.6667 0.7500 (multiplicity 2)
F 0.0084 0.3563 0.6305 (multiplicity 12)

Computed properties:
**Electronic total energy**: -3.78 eV/atom
**M_tot**: 0.000 μB/atom

No. 3
The following is a PBE calculation of a relaxed Nd4AlPd3 crystal, from Alexandria.

Cell lengths 3.9519, 4.5481, 11.2770 Å; angles 90.00, 90.00, 90.00 degrees
Space group Pmm2 (No. 25)
Inequivalent atoms, fractional coordinates:
Nd 0.0000 0.0000 0.0000 (multiplicity 1)
Nd 0.0000 0.5000 0.2673 (multiplicity 1)
Nd 0.5000 0.0000 0.4857 (multiplicity 1)
Nd 0.5000 0.5000 0.7789 (multiplicity 1)
Al 0.0000 0.0000 0.7026 (multiplicity 1)
Pd 0.0000 0.5000 0.5584 (multiplicity 1)
Pd 0.5000 0.0000 0.2179 (multiplicity 1)
Pd 0.5000 0.5000 0.0537 (multiplicity 1)

Computed properties:
**M_tot**: 0.000 μB/atom
**Calculated formation energy**: -0.676 eV/atom

No. 4
The following is a PBE calculation of a relaxed Al2TlPt crystal, from Alexandria.

Cell lengths 3.2054, 3.2054, 26.0179 Å; angles 90.00, 90.00, 120.00 degrees
Space group R3m (No. 160, hexagonal axes)
Inequivalent atoms, fractional coordinates:
Al 0.0000 0.0000 0.0000 (multiplicity 3)
Al 0.0000 0.0000 0.2507 (multiplicity 3)
Tl 0.0000 0.0000 0.7612 (multiplicity 3)
Pt 0.0000 0.0000 0.5190 (multiplicity 3)

Computed properties:
**M_tot**: 0.000 μB/atom
**Calculated formation energy**: -0.092 eV/atom
**E above lowest polymorph**: 248 meV/atom

No. 5
The following is a PBE calculation of a relaxed HoLuScCu crystal, from Alexandria.

Cell lengths 7.2131, 7.2131, 7.2131 Å; angles 90.00, 90.00, 90.00 degrees
Space group F-43m (No. 216)
Inequivalent atoms, fractional coordinates:
Ho 0.0000 0.0000 0.0000 (multiplicity 4)
Lu 0.0000 0.0000 0.5000 (multiplicity 4)
Sc 0.2500 0.2500 0.2500 (multiplicity 4)
Cu 0.2500 0.2500 0.7500 (multiplicity 4)

Computed properties:
**M_tot**: 0.000 μB/atom
**Calculated formation energy**: 0.118 eV/atom

No. 6
The following is a PBE calculation of a relaxed UTePb2O8 crystal, from Alexandria.

Cell lengths 5.8536, 7.8817, 8.0369 Å; angles 90.00, 90.42, 90.00 degrees
Space group P2_1/c (No. 14)
Inequivalent atoms, fractional coordinates:
U 0.0000 0.0000 0.0000 (multiplicity 2)
Te 0.0000 0.0000 0.5000 (multiplicity 2)
Pb 0.4911 0.1668 0.6846 (multiplicity 4)
O 0.1098 0.0270 0.7332 (multiplicity 4)
O 0.1278 0.7325 0.9953 (multiplicity 4)
O 0.2951 0.0663 0.0664 (multiplicity 4)
O 0.2974 0.0816 0.4336 (multiplicity 4)

Computed properties:
**Electronic total energy**: -6.94 eV/atom
**M_tot**: 0.000 μB/atom

No. 7
The following is a PBE calculation of a relaxed LaSm6Er12 crystal, from Alexandria.

Cell lengths 15.5129, 15.5129, 8.7155 Å; angles 90.00, 90.00, 120.00 degrees
Space group R-3 (No. 148, hexagonal axes)
Inequivalent atoms, fractional coordinates:
La 0.0000 0.0000 0.0000 (multiplicity 3)
Sm 0.0352 0.2796 0.3338 (multiplicity 18)
Er 0.0178 0.1409 0.6654 (multiplicity 18)
Er 0.0696 0.5609 0.6668 (multiplicity 18)

Computed properties:
**M_tot**: 0.000 μB/atom
**Calculated formation energy**: 0.023 eV/atom
**E above lowest polymorph**: 0 meV/atom

No. 8
The following is a PBE calculation of a relaxed Ca2CuAg crystal, from Alexandria.

Cell lengths 3.6221, 3.6221, 7.8510 Å; angles 90.00, 90.00, 90.00 degrees
Space group P4mm (No. 99)
Inequivalent atoms, fractional coordinates:
Ca 0.0000 0.0000 0.0000 (multiplicity 1)
Ca 0.5000 0.5000 0.3894 (multiplicity 1)
Cu 0.0000 0.0000 0.6151 (multiplicity 1)
Ag 0.5000 0.5000 0.7669 (multiplicity 1)

Computed properties:
**M_tot**: 0.000 μB/atom
**Calculated formation energy**: -0.075 eV/atom

No. 9
The following is a PBE calculation of a relaxed KReHg2S crystal, from Alexandria.

Cell lengths 5.3727, 5.3727, 5.8096 Å; angles 90.00, 90.00, 90.00 degrees
Space group P4/mmm (No. 123)
Inequivalent atoms, fractional coordinates:
K 0.0000 0.0000 0.0000 (multiplicity 1)
Re 0.5000 0.5000 0.0000 (multiplicity 1)
Hg 0.0000 0.5000 0.5000 (multiplicity 2)
S 0.0000 0.0000 0.5000 (multiplicity 1)

Computed properties:
**Electronic total energy**: -2.46 eV/atom
**M_tot**: 0.903 μB/atom

No. 10
The following is a PBE calculation of a relaxed Mg7CuPt4 crystal, from Alexandria.

Cell lengths 13.0230, 4.6955, 9.3011 Å; angles 90.00, 127.52, 90.00 degrees
Space group C2/m (No. 12)
Inequivalent atoms, fractional coordinates:
Mg 0.0000 0.0000 0.0000 (multiplicity 2)
Mg 0.0706 0.5000 0.3378 (multiplicity 4)
Mg 0.1721 0.0000 0.6167 (multiplicity 4)
Mg 0.2169 0.5000 0.8678 (multiplicity 4)
Cu 0.0000 0.5000 0.0000 (multiplicity 2)
Pt 0.0659 0.0000 0.7821 (multiplicity 4)
Pt 0.1995 0.0000 0.3460 (multiplicity 4)

Computed properties:
**M_tot**: 0.000 μB/atom
**Calculated formation energy**: -0.494 eV/atom
**E above lowest polymorph**: 80 meV/atom

No. 11
The following is a PBE calculation of a relaxed LaTl2Ag crystal, from Alexandria.

Cell lengths 4.6595, 4.6595, 22.0075 Å; angles 90.00, 90.00, 90.00 degrees
Space group I-42d (No. 122)
Inequivalent atoms, fractional coordinates:
La 0.0000 0.0000 0.0000 (multiplicity 4)
Tl 0.2166 0.2500 0.6250 (multiplicity 8)
Ag 0.0000 0.0000 0.5000 (multiplicity 4)

Computed properties:
**M_tot**: 0.000 μB/atom
**Calculated formation energy**: -0.054 eV/atom

No. 12
The following is a PBE calculation of a relaxed CaYF6 crystal, from Alexandria.

Cell lengths 5.4544, 5.4544, 7.9742 Å; angles 90.00, 90.00, 90.00 degrees
Space group P4_2/m (No. 84)
Inequivalent atoms, fractional coordinates:
Ca 0.0000 0.0000 0.0000 (multiplicity 2)
Y 0.5000 0.5000 0.2500 (multiplicity 2)
F 0.2142 0.2361 0.1760 (multiplicity 8)
F 0.3195 0.3300 0.5000 (multiplicity 4)

Computed properties:
**Electronic total energy**: -5.90 eV/atom
**M_tot**: 0.131 μB/atom

No. 13
The following is a PBE calculation of a relaxed LaCrSi crystal, from Alexandria.

Cell lengths 4.3385, 4.3385, 4.2301 Å; angles 90.00, 90.00, 120.00 degrees
Space group P-6m2 (No. 187)
Inequivalent atoms, fractional coordinates:
La 0.0000 0.0000 0.0000 (multiplicity 1)
Cr 0.6667 0.3333 0.5000 (multiplicity 1)
Si 0.3333 0.6667 0.5000 (multiplicity 1)

Computed properties:
**Electronic total energy**: -6.88 eV/atom
**M_tot**: 1.104 μB/atom

No. 14
The following is a PBE calculation of a relaxed PrSmTlPt crystal, from Alexandria.

Cell lengths 7.5084, 7.5084, 7.5084 Å; angles 90.00, 90.00, 90.00 degrees
Space group F-43m (No. 216)
Inequivalent atoms, fractional coordinates:
Pr 0.0000 0.0000 0.0000 (multiplicity 4)
Sm 0.0000 0.0000 0.5000 (multiplicity 4)
Tl 0.2500 0.2500 0.2500 (multiplicity 4)
Pt 0.2500 0.2500 0.7500 (multiplicity 4)

Computed properties:
**M_tot**: 0.000 μB/atom
**Calculated formation energy**: -0.601 eV/atom

No. 15
The following is a PBE calculation of a relaxed Li2BeCoH6 crystal, from Alexandria.

Cell lengths 4.4989, 4.4989, 23.4040 Å; angles 90.00, 90.00, 120.00 degrees
Space group R-3m (No. 166, hexagonal axes)
Inequivalent atoms, fractional coordinates:
Li 0.0000 0.0000 0.1274 (multiplicity 6)
Li 0.0000 0.0000 0.3040 (multiplicity 6)
Be 0.0000 0.0000 0.4107 (multiplicity 6)
Co 0.0000 0.0000 0.0000 (multiplicity 3)
Co 0.0000 0.0000 0.5000 (multiplicity 3)
H 0.0036 0.5018 0.2936 (multiplicity 18)
H 0.0122 0.5061 0.1271 (multiplicity 18)

Computed properties:
**Electronic total energy**: -3.69 eV/atom
**M_tot**: 0.000 μB/atom

No. 16
The following is a PBE calculation of a relaxed NbAl2TlN crystal, from Alexandria.

Cell lengths 5.2171, 5.2171, 4.0620 Å; angles 90.00, 90.00, 90.00 degrees
Space group P4/mmm (No. 123)
Inequivalent atoms, fractional coordinates:
Nb 0.0000 0.0000 0.0000 (multiplicity 1)
Al 0.0000 0.5000 0.5000 (multiplicity 2)
Tl 0.5000 0.5000 0.5000 (multiplicity 1)
N 0.5000 0.5000 0.0000 (multiplicity 1)

Computed properties:
**Electronic total energy**: -3.76 eV/atom
**M_tot**: 0.000 μB/atom

No. 17
The following is a PBE calculation of a relaxed NbNiPdRu2 crystal, from Alexandria.

Cell lengths 4.4173, 4.4173, 4.4900 Å; angles 90.00, 90.00, 90.00 degrees
Space group P4/mmm (No. 123)
Inequivalent atoms, fractional coordinates:
Nb 0.0000 0.0000 0.0000 (multiplicity 1)
Ni 0.0000 0.0000 0.5000 (multiplicity 1)
Pd 0.5000 0.5000 0.0000 (multiplicity 1)
Ru 0.0000 0.5000 0.5000 (multiplicity 2)

Computed properties:
**M_tot**: 0.391 μB/atom
**Calculated formation energy**: 1.093 eV/atom

No. 18
The following is a PBE calculation of a relaxed CeMgAlZn crystal, from Alexandria.

Cell lengths 6.9831, 6.9831, 6.9831 Å; angles 90.00, 90.00, 90.00 degrees
Space group F-43m (No. 216)
Inequivalent atoms, fractional coordinates:
Ce 0.0000 0.0000 0.0000 (multiplicity 4)
Mg 0.0000 0.0000 0.5000 (multiplicity 4)
Al 0.2500 0.2500 0.7500 (multiplicity 4)
Zn 0.2500 0.2500 0.2500 (multiplicity 4)

Computed properties:
**M_tot**: 0.141 μB/atom
**Calculated formation energy**: -0.249 eV/atom

No. 19
The following is a PBE calculation of a relaxed PaSi2IrRu crystal, from Alexandria.

Cell lengths 4.1112, 4.1112, 9.8175 Å; angles 90.00, 90.00, 90.00 degrees
Space group I-4m2 (No. 119)
Inequivalent atoms, fractional coordinates:
Pa 0.0000 0.0000 0.0000 (multiplicity 2)
Si 0.0000 0.0000 0.3780 (multiplicity 4)
Ir 0.0000 0.5000 0.2500 (multiplicity 2)
Ru 0.0000 0.5000 0.7500 (multiplicity 2)

Computed properties:
**Electronic total energy**: -8.63 eV/atom
**M_tot**: 0.000 μB/atom

No. 20
The following is a PBE calculation of a relaxed NdSmSc crystal, from Alexandria.

Cell lengths 20.7872, 3.4442, 5.1770 Å; angles 90.00, 90.00, 90.00 degrees
Space group Cm (No. 8)
Inequivalent atoms, fractional coordinates:
Nd 0.0000 0.0000 0.0000 (multiplicity 2)
Nd 0.0990 0.0000 0.5001 (multiplicity 2)
Sm 0.1810 0.5000 0.0001 (multiplicity 2)
Sm 0.4179 0.0000 0.5000 (multiplicity 2)
Sc 0.2601 0.0000 0.4995 (multiplicity 2)
Sc 0.3389 0.5000 0.0013 (multiplicity 2)

Computed properties:
**M_tot**: 0.000 μB/atom
**Calculated formation energy**: 0.104 eV/atom
**E above lowest polymorph**: 46 meV/atom

No. 21
The following is a PBE calculation of a relaxed Sm5Dy12Th2 crystal, from Alexandria.

Cell lengths 16.1031, 9.7654, 7.9304 Å; angles 90.00, 90.57, 90.00 degrees
Space group C2/m (No. 12)
Inequivalent atoms, fractional coordinates:
Sm 0.0000 0.0000 0.0000 (multiplicity 2)
Sm 0.1419 0.5000 0.4323 (multiplicity 4)
Sm 0.2463 0.0000 0.0195 (multiplicity 4)
Dy 0.0487 0.5000 0.7882 (multiplicity 4)
Dy 0.1070 0.2780 0.1117 (multiplicity 8)
Dy 0.1595 0.0000 0.3772 (multiplicity 4)
Dy 0.1925 0.2279 0.7056 (multiplicity 8)
Th 0.0000 0.2195 0.5000 (multiplicity 4)

Computed properties:
**M_tot**: 0.000 μB/atom
**Calculated formation energy**: 0.153 eV/atom
**E above lowest polymorph**: 129 meV/atom

No. 22
The following is a PBE calculation of a relaxed Cs2ZrCrI6 crystal, from Alexandria.

Cell lengths 11.8889, 11.8889, 11.8889 Å; angles 90.00, 90.00, 90.00 degrees
Space group Fm-3m (No. 225)
Inequivalent atoms, fractional coordinates:
Cs 0.2500 0.2500 0.2500 (multiplicity 8)
Zr 0.0000 0.0000 0.0000 (multiplicity 4)
Cr 0.0000 0.0000 0.5000 (multiplicity 4)
I 0.0000 0.0000 0.2488 (multiplicity 24)

Computed properties:
**Electronic total energy**: -3.79 eV/atom
**M_tot**: 0.600 μB/atom

No. 23
The following is a PBE calculation of a relaxed La2Pm3Se4 crystal, from Alexandria.

Cell lengths 13.9608, 4.1813, 10.2468 Å; angles 90.00, 118.85, 90.00 degrees
Space group C2/m (No. 12)
Inequivalent atoms, fractional coordinates:
La 0.0966 0.0000 0.4023 (multiplicity 4)
Pm 0.0000 0.5000 0.0000 (multiplicity 2)
Pm 0.2064 0.5000 0.8053 (multiplicity 4)
Se 0.1020 0.0000 0.9010 (multiplicity 4)
Se 0.1979 0.5000 0.2987 (multiplicity 4)

Computed properties:
**Electronic total energy**: -5.87 eV/atom
**M_tot**: 0.000 μB/atom